Entry 1:
DFT (GGA-PBE) results for crystalline Nd3EuFe at its relaxed geometry.

Cell: 5.4905 5.4905 5.4905 Å, 90.00 90.00 90.00°
Last column: nearest neighbours and their distance in Å.
Space group Pm-3m (No. 221)
Unique sites:
Nd1 0.0000 0.0000 0.5000 (multiplicity 3)  2 Fe 2.75
Eu1 0.5000 0.5000 0.5000 (multiplicity 1)  12 Nd 3.88
Fe1 0.0000 0.0000 0.0000 (multiplicity 1)  6 Nd 2.75

Computed properties:
- D(E_F) (states/eV per cell) = 5.77
- magnetization (μB per cell) = 7.24
- energy (eV for the cell shown) = -32.36

Entry 2:
DFT (GGA-PBE) results for crystalline NdEuFe4 at its relaxed geometry.

Cell: 7.4274 7.4274 7.4274 Å, 90.00 90.00 90.00°
Last column: nearest neighbours and their distance in Å.
Space group F-43m (No. 216)
Unique sites:
Nd1 0.0000 0.0000 0.0000 (multiplicity 4)  12 Fe 3.08, 4 Eu 3.22
Eu1 0.2500 0.2500 0.7500 (multiplicity 4)  12 Fe 3.08, 4 Nd 3.22
Fe1 0.1242 0.1242 0.3758 (multiplicity 16)  6 Fe 2.61-2.64

Computed properties:
- D(E_F) (states/eV per cell) = 74.57
- magnetization (μB per cell) = 60.76
- energy (eV for the cell shown) = -190.46